(1)
Computed, not measured: Sn3RhCl after structural relaxation at the PBE level of DFT.

Summary:
Energy relative to the lowest polymorph listed for this composition in meV/atom: 1039
Total moment in μB per formula unit: 0.00
Raw formation energy in kJ per mole of atoms: 80
Total DFT energy (no corrections) in eV per atom: -3.41

The structure in POSCAR format:
```
Sn3RhCl
1.0
5.214 0.000 0.000
0.000 5.214 0.000
0.000 0.000 5.214
Sn Rh Cl
3 1 1
Direct
0.000 0.000 0.500
0.000 0.500 0.000
0.500 0.000 0.000
0.500 0.500 0.500
0.000 0.000 0.000
```


(2)
Computed, not measured: Al2Ni after structural relaxation at the PBE level of DFT.

Summary:
Total moment in μB per formula unit: 0.00
Total DFT energy (no corrections) in eV per atom: -4.84

The structure in POSCAR format:
```
Al2Ni
1.0
1.335 -5.448 0.000
1.335 5.448 0.000
0.000 0.000 2.971
Al Ni
2 1
Direct
0.138 0.862 0.000
0.862 0.138 0.000
0.500 0.500 0.500
```


(3)
Computed, not measured: KLiMg after structural relaxation at the PBE level of DFT.

Summary:
Energy relative to the lowest polymorph listed for this composition in meV/atom: 63
Total moment in μB per formula unit: 0.00
Total DFT energy (no corrections) in eV per atom: -1.39

The structure in POSCAR format:
```
KLiMg
1.0
-1.910 2.041 6.624
1.910 -2.041 6.624
1.910 2.041 -6.624
K Li Mg
1 1 1
Direct
0.000 0.000 0.000
0.715 0.715 0.000
0.290 0.290 0.000
```


(4)
Computed, not measured: Hf4ReNi after structural relaxation at the PBE level of DFT.

Summary:
Total moment in μB per formula unit: 0.00
Total DFT energy (no corrections) in eV per atom: -9.92

The structure in POSCAR format:
```
Hf4ReNi
1.0
5.311 -2.304 0.000
5.311 2.304 0.000
-0.007 0.000 4.592
Hf Re Ni
4 1 1
Direct
0.150 0.150 0.000
0.348 0.348 0.501
0.652 0.652 0.499
0.850 0.850 0.000
0.000 0.000 0.500
0.500 0.500 0.000
```